Material: KTeRu
Method: DFT, GGA-PBE
State: relaxed

Computed properties:
The value obtained for the polymorph energy (0 for the lowest one) is 7.46 kcal/mol of atoms. As for the energy relative to the elements, uncorrected: 48 meV/atom. For the total magnetization, the calculation gives 0.0 μB per cell.

```
3
Lattice="-1.730 1.756 6.361 1.730 -1.756 6.361 1.730 1.756 -6.361" Properties=species:S:1:pos:R:3 pbc="T T T"
K 0.000 0.000 0.000
Te 0.000 0.000 9.111
Ru 0.000 0.000 3.764
```